# 1
VASP calculation (PBE) on a relaxed TmHfMg2 crystal.

Calculated values
Energy of formation: 0.13 eV per atom
Total DFT energy (no corrections): -4.276 eV per atom
Excess energy over the best structure of this formula in the dataset: 13.02 kJ per mole of atoms
Spin magnetization: 0.00 μB/f.u.

abc: 3.236 3.236 32.318
angles: 90.00 90.00 120.00
Element x y z (fractional)
Tm  0.000  0.000  0.000
Tm  0.333  0.667  0.667
Tm  0.667  0.333  0.333
Hf  0.000  0.000  0.500
Hf  0.333  0.667  0.167
Hf  0.667  0.333  0.833
Mg  0.000  0.000  0.247
Mg  0.000  0.000  0.753
Mg  0.333  0.667  0.420
Mg  0.333  0.667  0.913
Mg  0.667  0.333  0.087
Mg  0.667  0.333  0.580

=====

# 2
VASP calculation (PBE) on a relaxed Mn3CdAu crystal.

Calculated values
Energy of formation: 0.87 eV per atom
Total DFT energy (no corrections): -5.474 eV per atom
Excess energy over the best structure of this formula in the dataset: 0.00 kJ per mole of atoms
Spin magnetization: 13.27 μB/f.u.

abc: 4.976 4.976 4.976
angles: 90.00 90.00 90.00
Element x y z (fractional)
Mn  0.000  0.000  0.500
Mn  0.000  0.500  0.000
Mn  0.500  0.000  0.000
Cd  0.500  0.500  0.500
Au  0.000  0.000  0.000

=====

# 3
VASP calculation (PBE) on a relaxed K3BaAs crystal.

Calculated values
Energy of formation: 0.92 eV per atom
Total DFT energy (no corrections): -1.055 eV per atom
Excess energy over the best structure of this formula in the dataset: 89.72 kJ per mole of atoms
Spin magnetization: 0.00 μB/f.u.

abc: 7.572 7.572 7.572
angles: 90.00 90.00 90.00
Element x y z (fractional)
K  0.000  0.000  0.500
K  0.000  0.500  0.000
K  0.500  0.000  0.000
Ba  0.000  0.000  0.000
As  0.500  0.500  0.500

=====

# 4
VASP calculation (PBE) on a relaxed KMgIn crystal.

Calculated values
Energy of formation: -0.04 eV per atom
Total DFT energy (no corrections): -1.845 eV per atom
Excess energy over the best structure of this formula in the dataset: 2.65 kJ per mole of atoms
Spin magnetization: 0.00 μB/f.u.

abc: 13.340 5.191 5.974
angles: 90.00 90.17 90.00
Element x y z (fractional)
K  0.000  0.000  0.000
K  0.051  0.500  0.511
K  0.500  0.500  0.000
K  0.551  0.000  0.511
Mg  0.232  0.500  0.997
Mg  0.284  0.000  0.249
Mg  0.732  0.000  0.997
Mg  0.784  0.500  0.249
In  0.259  0.000  0.751
In  0.335  0.500  0.493
In  0.759  0.500  0.751
In  0.835  0.000  0.493

=====

# 5
VASP calculation (PBE) on a relaxed LiP2Au crystal.

Calculated values
Energy of formation: 0.01 eV per atom
Total DFT energy (no corrections): -3.994 eV per atom
Excess energy over the best structure of this formula in the dataset: 34.84 kJ per mole of atoms
Spin magnetization: 0.00 μB/f.u.

abc: 7.443 7.443 4.974
angles: 90.00 90.00 90.00
Element x y z (fractional)
Li  0.000  0.000  0.000
Li  0.000  0.500  0.250
Li  0.500  0.000  0.750
Li  0.500  0.500  0.500
P  0.206  0.250  0.625
P  0.250  0.706  0.875
P  0.250  0.794  0.375
P  0.294  0.250  0.125
P  0.706  0.750  0.125
P  0.750  0.206  0.375
P  0.750  0.294  0.875
P  0.794  0.750  0.625
Au  0.000  0.000  0.500
Au  0.000  0.500  0.750
Au  0.500  0.000  0.250
Au  0.500  0.500  0.000

=====

# 6
VASP calculation (PBE) on a relaxed YScCl6 crystal.

Calculated values
Total DFT energy (no corrections): -5.143 eV per atom
Excess energy over the best structure of this formula in the dataset: 0.00 kJ per mole of atoms
ΔE_f (raw): -2.16 eV per atom
Spin magnetization: 0.00 μB/f.u.

abc: 6.426 12.612 6.420
angles: 90.00 106.57 90.00
Element x y z (fractional)
Y  0.000  0.000  0.000
Y  0.500  0.500  0.000
Sc  0.000  0.500  0.500
Sc  0.500  0.000  0.500
Cl  0.236  0.362  0.737
Cl  0.236  0.638  0.737
Cl  0.244  0.500  0.257
Cl  0.256  0.000  0.743
Cl  0.264  0.138  0.263
Cl  0.264  0.862  0.263
Cl  0.736  0.138  0.737
Cl  0.736  0.862  0.737
Cl  0.744  0.000  0.257
Cl  0.756  0.500  0.743
Cl  0.764  0.362  0.263
Cl  0.764  0.638  0.263

=====

# 7
VASP calculation (PBE) on a relaxed YIF2 crystal.

Calculated values
Total DFT energy (no corrections): -4.601 eV per atom
Excess energy over the best structure of this formula in the dataset: 137.56 kJ per mole of atoms
ΔE_f (raw): -1.66 eV per atom
Spin magnetization: 0.00 μB/f.u.

abc: 3.623 3.623 30.948
angles: 90.00 90.00 120.00
Element x y z (fractional)
Y  0.000  0.000  0.000
Y  0.333  0.667  0.667
Y  0.667  0.333  0.333
I  0.000  0.000  0.500
I  0.333  0.667  0.167
I  0.667  0.333  0.833
F  0.000  0.000  0.066
F  0.000  0.000  0.934
F  0.333  0.667  0.601
F  0.333  0.667  0.732
F  0.667  0.333  0.268
F  0.667  0.333  0.399

=====

# 8
VASP calculation (PBE) on a relaxed Nd2YEr7 crystal.

Calculated values
Energy of formation: 0.06 eV per atom
Total DFT energy (no corrections): -4.733 eV per atom
Excess energy over the best structure of this formula in the dataset: 0.00 kJ per mole of atoms
Spin magnetization: 0.00 μB/f.u.

abc: 9.442 9.442 9.442
angles: 146.57 136.35 56.08
Element x y z (fractional)
Nd  0.198  0.198  0.000
Nd  0.802  0.802  0.000
Y  0.500  0.000  0.500
Er  0.000  0.000  0.000
Er  0.143  0.392  0.751
Er  0.300  0.800  0.500
Er  0.358  0.608  0.751
Er  0.642  0.392  0.249
Er  0.700  0.200  0.500
Er  0.857  0.608  0.249